[1]
Computed, not measured: a geometry-optimized Nb2AlAs2 structure at the PBE-GGA level of DFT.

a = 7.2283 Å, b = 7.2283 Å, c = 3.4164 Å
α = 90.00°, β = 90.00°, γ = 90.00°
Space group P4/mbm (No. 127)
Unique sites:
Nb: 0.1465 0.3535 0.0000
Al: 0.0000 0.0000 0.0000
As: 0.1477 0.6477 0.5000

As for the polymorph energy (0 for the lowest one): 0 meV/atom. The calculation puts the volume at 89.3 Å³/f.u.

---

[2]
Computed, not measured: a geometry-optimized Nb4Al2As structure at the PBE-GGA level of DFT.

a = 4.6091 Å, b = 4.6091 Å, c = 14.0172 Å
α = 90.00°, β = 90.00°, γ = 90.00°
Space group I4/mmm (No. 139)
Unique sites:
Nb: 0.0000 0.0000 0.1799
Nb: 0.0000 0.5000 0.0000
Al: 0.0000 0.0000 0.3725
As: 0.0000 0.0000 0.0000

The value obtained for the uncorrected energy is -0.5028 Ry/atom. The calculation puts the volume at 148.9 Å³/f.u.

---

[3]
Computed, not measured: a geometry-optimized Nb2AlAs2 structure at the PBE-GGA level of DFT.

a = 7.2130 Å, b = 7.2130 Å, c = 3.3209 Å
α = 90.00°, β = 90.00°, γ = 90.00°
Space group P4/mbm (No. 127)
Unique sites:
Nb: 0.1556 0.3444 0.0000
Al: 0.0000 0.0000 0.5000
As: 0.1415 0.6415 0.5000

As for the polymorph energy (0 for the lowest one): 42 meV/atom. The calculation puts the volume at 86.4 Å³/f.u.

---

[4]
Computed, not measured: a geometry-optimized NbAlAsOs2 structure at the PBE-GGA level of DFT.

a = 4.5224 Å, b = 4.5224 Å, c = 4.6925 Å
α = 90.00°, β = 90.00°, γ = 90.00°
Space group P4/mmm (No. 123)
Unique sites:
Nb: 0.0000 0.0000 0.0000
Al: 0.5000 0.5000 0.0000
As: 0.0000 0.0000 0.5000
Os: 0.0000 0.5000 0.5000

The value obtained for the uncorrected energy is -0.5191 Ry/atom. The calculation puts the volume at 96.0 Å³/f.u.

---

[5]
Computed, not measured: a geometry-optimized NbAlAsPd2 structure at the PBE-GGA level of DFT.

a = 4.4487 Å, b = 4.4487 Å, c = 4.9563 Å
α = 90.00°, β = 90.00°, γ = 90.00°
Space group P4/mmm (No. 123)
Unique sites:
Nb: 0.0000 0.0000 0.0000
Al: 0.0000 0.0000 0.5000
As: 0.5000 0.5000 0.0000
Pd: 0.0000 0.5000 0.5000

The value obtained for the uncorrected energy is -0.3879 Ry/atom. The calculation puts the volume at 98.1 Å³/f.u.

---

[6]
Computed, not measured: a geometry-optimized NbAlAs2Ru structure at the PBE-GGA level of DFT.

a = 4.8980 Å, b = 4.8980 Å, c = 4.9599 Å
α = 90.00°, β = 90.00°, γ = 90.00°
Space group P4/mmm (No. 123)
Unique sites:
Nb: 0.0000 0.0000 0.0000
Al: 0.0000 0.0000 0.5000
As: 0.0000 0.5000 0.0000
Ru: 0.5000 0.5000 0.5000

The value obtained for the uncorrected energy is -0.4003 Ry/atom. The calculation puts the volume at 119.0 Å³/f.u.

---

[7]
Computed, not measured: a geometry-optimized TaNbAl2As structure at the PBE-GGA level of DFT.

a = 4.6458 Å, b = 4.6458 Å, c = 4.7504 Å
α = 90.00°, β = 90.00°, γ = 90.00°
Space group P4/mmm (No. 123)
Unique sites:
Ta: 0.0000 0.0000 0.0000
Nb: 0.5000 0.5000 0.0000
Al: 0.0000 0.5000 0.5000
As: 0.0000 0.0000 0.5000

The value obtained for the uncorrected energy is -0.4304 Ry/atom. The calculation puts the volume at 102.5 Å³/f.u.

---

[8]
Computed, not measured: a geometry-optimized NbAlV2As structure at the PBE-GGA level of DFT.

a = 4.4752 Å, b = 4.4752 Å, c = 4.6107 Å
α = 90.00°, β = 90.00°, γ = 90.00°
Space group P4/mmm (No. 123)
Unique sites:
Nb: 0.0000 0.0000 0.0000
Al: 0.5000 0.5000 0.0000
V: 0.0000 0.5000 0.5000
As: 0.5000 0.5000 0.5000

The value obtained for the uncorrected energy is -0.4814 Ry/atom. The calculation puts the volume at 92.3 Å³/f.u.

---

[9]
Computed, not measured: a geometry-optimized NdAlAsO2 structure at the PBE-GGA level of DFT.

a = 5.5726 Å, b = 12.2602 Å, c = 5.2594 Å
α = 90.00°, β = 90.00°, γ = 90.00°
Space group Cmcm (No. 63)
Unique sites:
Nd: 0.0000 0.1156 0.2500
Al: 0.0000 0.4818 0.7500
As: 0.0000 0.2617 0.7500
O: 0.2279 0.5000 0.0000

The calculation puts the volume at 89.8 Å³/f.u. The formation energy (no corrections) is -2.17 eV/atom.

---

[10]
Computed, not measured: a geometry-optimized Nd3AlAs2Rh9 structure at the PBE-GGA level of DFT.

a = 6.2534 Å, b = 6.2534 Å, c = 8.9810 Å
α = 90.00°, β = 90.00°, γ = 120.00°
Space group P-3m1 (No. 164)
Unique sites:
Nd: 0.0000 0.0000 0.0000
Nd: 0.3333 0.6667 0.6891
Al: 0.0000 0.0000 0.5000
As: 0.3333 0.6667 0.1733
Rh: 0.0000 0.5000 0.0000
Rh: 0.1429 0.2858 0.2844

The value obtained for the uncorrected energy is -0.4902 Ry/atom. The calculation puts the volume at 304.1 Å³/f.u.

---

[11]
Computed, not measured: a geometry-optimized AlNi2As structure at the PBE-GGA level of DFT.

a = 2.8776 Å, b = 4.3921 Å, c = 4.1504 Å
α = 90.00°, β = 90.00°, γ = 90.00°
Space group Pmm2 (No. 25)
Unique sites:
Al: 0.0000 0.0000 0.0000
Ni: 0.0000 0.5000 0.2721
Ni: 0.5000 0.0000 0.4971
As: 0.5000 0.5000 0.7589

The value obtained for the uncorrected energy is -0.3862 Ry/atom. The calculation puts the volume at 52.5 Å³/f.u.

---

[12]
Computed, not measured: a geometry-optimized AlNi2As structure at the PBE-GGA level of DFT.

a = 2.8345 Å, b = 2.8345 Å, c = 22.8221 Å
α = 90.00°, β = 90.00°, γ = 120.00°
Space group R-3m (No. 166, hexagonal axes)
Unique sites:
Al: 0.0000 0.0000 0.0000
Ni: 0.0000 0.0000 0.2490
As: 0.0000 0.0000 0.5000

The value obtained for the uncorrected energy is -0.3802 Ry/atom. The calculation puts the volume at 52.9 Å³/f.u.